Entry 1:
! Tl3V2CrTe6, relaxed, DFT PBE; values from VASP
&SYSTEM
  ibrav = 0, nat = 12, ntyp = 4
/
ATOMIC_SPECIES
Te 127.60 Te.upf
V 50.94 V.upf
Tl 204.38 Tl.upf
Cr 52.00 Cr.upf
CELL_PARAMETERS angstrom
7.0449 -0.1108 -0.8320
-3.6167 6.0467 -0.8320
-2.4749 -4.2852 9.4596
ATOMIC_POSITIONS crystal
Te 0.1541 0.1541 0.8198
Te 0.8459 0.8459 0.1802
Te 0.1862 0.5154 0.1858
Te 0.5154 0.1862 0.1858
Te 0.4846 0.8138 0.8142
Te 0.8138 0.4846 0.8142
V 0.3289 0.6711 0.0000
V 0.6711 0.3289 0.0000
Tl 0.5000 0.5000 0.5000
Tl 0.8358 0.1642 0.5000
Tl 0.1642 0.8358 0.5000
Cr 0.0000 0.0000 0.0000
! E (eV/cell): -57.1
! Magnetization (μB/atom): 0.61
! Space-group type: C2/m, No. 12
! ΔE_f (raw) (eV/atom): -0.277
! Density of states at the Fermi level (states/eV/atom): 0.646

Entry 2:
! BaFeSb2, relaxed, DFT PBE; values from VASP
&SYSTEM
  ibrav = 0, nat = 4, ntyp = 3
/
ATOMIC_SPECIES
Fe 55.84 Fe.upf
Ba 137.33 Ba.upf
Sb 121.76 Sb.upf
CELL_PARAMETERS angstrom
4.2917 0.0000 0.0000
0.0000 5.2408 -0.2411
0.0000 1.5622 5.4756
ATOMIC_POSITIONS crystal
Fe 0.5000 0.7500 0.7500
Ba 0.5000 0.2500 0.2500
Sb 0.0000 0.8590 0.9769
Sb 0.0000 0.6410 0.5231
! E (eV/cell): -19.5
! Magnetization (μB/atom): 0.60
! Space-group type: P2/m, No. 10
! ΔE_f (raw) (eV/atom): -0.216
! Density of states at the Fermi level (states/eV/atom): 0.791

Entry 3:
! CaP2PdS, relaxed, DFT PBE; values from VASP
&SYSTEM
  ibrav = 0, nat = 5, ntyp = 4
/
ATOMIC_SPECIES
Ca 40.08 Ca.upf
Pd 106.42 Pd.upf
S 32.06 S.upf
P 30.97 P.upf
CELL_PARAMETERS angstrom
5.1765 0.0000 0.0000
0.0000 5.0158 0.0000
0.0000 0.0000 5.1765
ATOMIC_POSITIONS crystal
Ca 0.0000 0.0000 0.0000
Pd 0.5000 0.5000 0.5000
S 0.0000 0.5000 0.0000
P 0.5000 0.0000 0.0000
P 0.0000 0.0000 0.5000
! E (eV/cell): -16.7
! Magnetization (μB/atom): 0.00
! Space-group type: P4/mmm, No. 123
! ΔE_f (raw) (eV/atom): 1.083
! Density of states at the Fermi level (states/eV/atom): 0.461
! Energy above the lowest structure with this stoichiometry (kJ/mol of formula units): 566.0

Entry 4:
! Ga2GeAuI, relaxed, DFT PBE; values from VASP
&SYSTEM
  ibrav = 0, nat = 5, ntyp = 4
/
ATOMIC_SPECIES
Ge 72.64 Ge.upf
I 126.90 I.upf
Ga 69.72 Ga.upf
Au 196.97 Au.upf
CELL_PARAMETERS angstrom
5.1500 0.0000 0.0000
0.0000 5.5424 0.0000
0.0000 0.0000 5.1500
ATOMIC_POSITIONS crystal
Ge 0.0000 0.0000 0.0000
I 0.0000 0.5000 0.0000
Ga 0.0000 0.0000 0.5000
Ga 0.5000 0.0000 0.0000
Au 0.5000 0.5000 0.5000
! E (eV/cell): -13.1
! Magnetization (μB/atom): 0.00
! Space-group type: P4/mmm, No. 123
! ΔE_f (raw) (eV/atom): 0.470
! Density of states at the Fermi level (states/eV/atom): 0.226

Entry 5:
! PmDy6YTm2, relaxed, DFT PBE; values from VASP
&SYSTEM
  ibrav = 0, nat = 20, ntyp = 4
/
ATOMIC_SPECIES
Y 88.91 Y.upf
Dy 162.50 Dy.upf
Tm 168.93 Tm.upf
Pm 145.00 Pm.upf
CELL_PARAMETERS angstrom
-7.5142 -2.2622 5.3458
2.1830 -8.3678 -1.4281
4.0578 4.2100 6.5296
ATOMIC_POSITIONS crystal
Y 0.7500 0.5907 0.4093
Y 0.2500 0.4093 0.5907
Dy 0.8812 0.2916 0.5100
Dy 0.6188 0.4900 0.7084
Dy 0.5561 0.7532 0.1207
Dy 0.3812 0.5100 0.2916
Dy 0.1817 0.5642 0.0180
Dy 0.9439 0.8793 0.2468
Dy 0.1188 0.7084 0.4900
Dy 0.3183 0.9820 0.4358
Dy 0.4439 0.2468 0.8793
Dy 0.8183 0.4358 0.9820
Dy 0.6817 0.0180 0.5642
Dy 0.0561 0.1207 0.7532
Tm 0.0464 0.3041 0.1992
Tm 0.5464 0.1992 0.3041
Tm 0.9536 0.6959 0.8008
Tm 0.4536 0.8008 0.6959
Pm 0.2500 0.9727 0.0273
Pm 0.7500 0.0273 0.9727
! E (eV/cell): -93.2
! Magnetization (μB/atom): 0.00
! Space-group type: C2/c, No. 15
! Density of states at the Fermi level (states/eV/atom): 1.483
! E_form (eV/atom): 0.119

Entry 6:
! CrOsRh2, relaxed, DFT PBE; values from VASP
&SYSTEM
  ibrav = 0, nat = 4, ntyp = 3
/
ATOMIC_SPECIES
Cr 52.00 Cr.upf
Rh 102.91 Rh.upf
Os 190.23 Os.upf
CELL_PARAMETERS angstrom
-7.9966 2.5847 2.7388
-8.2540 -0.0671 3.1614
-7.1066 1.4928 5.0394
ATOMIC_POSITIONS crystal
Cr 0.5007 0.5007 0.5007
Rh 0.2456 0.2456 0.2456
Rh 0.0009 0.0009 0.0009
Os 0.7528 0.7528 0.7528
! E (eV/cell): -35.3
! Magnetization (μB/atom): 0.00
! Space-group type: R3m, No. 160
! Density of states at the Fermi level (states/eV/atom): 1.575
! Energy above the lowest structure with this stoichiometry (kJ/mol of formula units): 47.1
! E_form (eV/atom): 0.058

Copy entry 6 word for word.
! CrOsRh2, relaxed, DFT PBE; values from VASP
&SYSTEM
  ibrav = 0, nat = 4, ntyp = 3
/
ATOMIC_SPECIES
Cr 52.00 Cr.upf
Rh 102.91 Rh.upf
Os 190.23 Os.upf
CELL_PARAMETERS angstrom
-7.9966 2.5847 2.7388
-8.2540 -0.0671 3.1614
-7.1066 1.4928 5.0394
ATOMIC_POSITIONS crystal
Cr 0.5007 0.5007 0.5007
Rh 0.2456 0.2456 0.2456
Rh 0.0009 0.0009 0.0009
Os 0.7528 0.7528 0.7528
! E (eV/cell): -35.3
! Magnetization (μB/atom): 0.00
! Space-group type: R3m, No. 160
! Density of states at the Fermi level (states/eV/atom): 1.575
! Energy above the lowest structure with this stoichiometry (kJ/mol of formula units): 47.1
! E_form (eV/atom): 0.058

The lowest density of states at the Fermi level belongs to which entry? Ga2GeAuI

Among the records above, which one has the highest E? Ga2GeAuI